A plane-wave DFT calculation with GGA-PBE was carried out for Pa2CoCuN5 after structural relaxation.

It has space group Cmc2_1 (No. 36), with a = 3.285 Å, b = 13.109 Å, c = 9.453 Å, α = 90.00°, β = 90.00° and γ = 90.00°. The asymmetric unit holds Pa at (0.000, 0.102, 0.000), Pa at (0.000, 0.147, 0.621), Co at (0.000, 0.206, 0.331), Cu at (0.000, 0.461, 0.780), N at (0.000, 0.060, 0.387), N at (0.000, 0.279, 0.971), N at (0.000, 0.311, 0.690), N at (0.000, 0.360, 0.319) and N at (0.000, 0.489, 0.089).

As for the calculated volume: 11.308 Å³/atom. As for the magnetization: 0.000 μB per atom. For the energy relative to the elements, uncorrected, the calculation gives -0.62 eV per atom. Its crystal system is orthorhombic.